No. 1
Compound: TaPbBr2
Source: Alexandria via LeMat-Bulk
Functional: GGA-PBEsol
Structure: optimized geometry

a = 3.200 Å, b = 4.076 Å, c = 7.268 Å
α = 90.00°, β = 90.00°, γ = 90.00°
Fractional positions:
Br1 0.500 0.500 0.190
Pb1 0.000 0.000 0.529
Br2 0.000 0.000 0.949
Ta1 0.500 0.500 0.832

Values from the calculation:
The formation energy (no corrections) comes out at 116 meV/atom. Its total magnetization is 0.0 μB per formula unit.


No. 2
Compound: MnOF
Source: Alexandria via LeMat-Bulk
Functional: GGA-PBEsol
Structure: optimized geometry

a = 4.429 Å, b = 5.075 Å, c = 5.556 Å
α = 90.00°, β = 90.00°, γ = 90.00°
Each line ends with the local moment (μB).
Fractional positions:
O1 0.274 0.901 0.133  0.04
Mn1 0.983 0.779 0.900  3.71
F1 0.743 0.542 0.130  0.09
O2 0.774 0.099 0.867  0.04
Mn2 0.983 0.279 0.600  3.71
F2 0.743 0.042 0.370  0.09
O3 0.274 0.401 0.367  0.04
F3 0.243 0.958 0.630  0.09
Mn3 0.483 0.221 0.100  3.71
O4 0.774 0.599 0.633  0.04
Mn4 0.483 0.721 0.400  3.71
F4 0.243 0.458 0.870  0.09

Values from the calculation:
The formation energy (no corrections) comes out at -1892 meV/atom. Its total magnetization is 4.0 μB per formula unit.


No. 3
Compound: Ag2Rh3
Source: Alexandria via LeMat-Bulk
Functional: GGA-PBEsol
Structure: optimized geometry

a = 2.697 Å, b = 2.697 Å, c = 10.295 Å
α = 97.53°, β = 97.53°, γ = 90.00°
Each line ends with the local moment (μB).
Fractional positions:
Rh1 0.000 0.000 0.000  0.46
Ag1 0.398 0.398 0.795  0.01
Rh2 0.793 0.793 0.587  0.03
Rh3 0.207 0.207 0.413  0.03
Ag2 0.602 0.602 0.205  0.01

Values from the calculation:
Its total magnetization is 0.5 μB per formula unit. As for the energy relative to the elements: 255 meV per atom.


No. 4
Compound: FePdO2F
Source: Alexandria via LeMat-Bulk
Functional: GGA-PBEsol
Structure: optimized geometry

a = 3.971 Å, b = 3.914 Å, c = 3.914 Å
α = 90.00°, β = 90.00°, γ = 90.00°
Each line ends with the local moment (μB).
Fractional positions:
O1 0.000 0.000 0.500  0.16
F1 0.500 0.000 0.000  0.02
Pd1 0.000 0.000 0.000  0.14
O2 0.000 0.500 0.000  0.16
Fe1 0.500 0.500 0.500  3.56

Values from the calculation:
The formation energy (no corrections) comes out at -44 meV/atom. Its total magnetization is 4.2 μB per formula unit.


No. 5
Compound: Mg2CoH5
Source: Alexandria via LeMat-Bulk
Functional: GGA-PBEsol
Structure: optimized geometry

a = 4.401 Å, b = 4.401 Å, c = 6.516 Å
α = 90.00°, β = 90.00°, γ = 90.00°
Fractional positions:
H1 0.757 0.257 0.769
Co1 0.500 0.000 0.258
H2 0.743 0.243 0.231
H3 0.243 0.743 0.769
H4 0.757 0.743 0.769
H5 0.257 0.757 0.231
Mg1 0.500 0.500 0.000
H6 0.743 0.757 0.231
Mg2 0.000 0.000 0.000
H7 0.000 0.500 0.504
Co2 0.000 0.500 0.742
Mg3 0.000 0.000 0.500
Mg4 0.500 0.500 0.500
H8 0.500 0.000 0.496
H9 0.243 0.257 0.769
H10 0.257 0.243 0.231

Values from the calculation:
Its total energy is -3.771 eV per atom. Its total magnetization is 0.0 μB per formula unit.


No. 6
Compound: KZr3Pt
Source: Alexandria via LeMat-Bulk
Functional: GGA-PBEsol
Structure: optimized geometry

a = 4.660 Å, b = 4.660 Å, c = 4.660 Å
α = 90.00°, β = 90.00°, γ = 90.00°
Fractional positions:
Zr1 0.000 0.500 0.000
Zr2 0.000 0.000 0.500
Zr3 0.500 0.000 0.000
K1 0.000 0.000 0.000
Pt1 0.500 0.500 0.500

Values from the calculation:
Its total magnetization is 0.0 μB per formula unit. As for the energy relative to the elements: 1758 meV per atom.


No. 7
Compound: TeMoOs2
Source: Alexandria via LeMat-Bulk
Functional: GGA-PBEsol
Structure: optimized geometry

a = 4.002 Å, b = 4.002 Å, c = 4.828 Å
α = 114.48°, β = 114.48°, γ = 90.00°
Fractional positions:
Os1 0.750 0.250 0.500
Os2 0.250 0.750 0.500
Mo1 0.000 0.000 0.000
Te1 0.500 0.500 0.000

Values from the calculation:
The formation energy (no corrections) comes out at 646 meV/atom. Its total magnetization is 0.0 μB per formula unit.


No. 8
Compound: LiAl2Mo
Source: Alexandria via LeMat-Bulk
Functional: GGA-PBEsol
Structure: optimized geometry

a = 2.806 Å, b = 3.642 Å, c = 5.801 Å
α = 90.00°, β = 90.00°, γ = 90.00°
Fractional positions:
Al1 0.000 0.000 0.254
Li1 0.500 0.500 0.000
Al2 0.000 0.000 0.746
Mo1 0.500 0.500 0.500

Values from the calculation:
Its total magnetization is 0.0 μB per formula unit. As for the energy relative to the elements: -110 meV per atom.